Record 1
# Mo2WS6, relaxed, DFT PBEsol
data_Mo2WS6
_chemical_formula_sum 'Mo2 W1 S6'
_cell_length_a 3.1399
_cell_length_b 3.1399
_cell_length_c 19.7115
_cell_angle_alpha 90.00
_cell_angle_beta 90.00
_cell_angle_gamma 120.00
_symmetry_space_group_name_H-M 'P 1'
_symmetry_Int_Tables_number 1
loop_
_symmetry_equiv_pos_as_xyz
'x,y,z'
loop_
_atom_site_label
_atom_site_type_symbol
_atom_site_fract_x
_atom_site_fract_y
_atom_site_fract_z
Mo1 Mo 0.0000 0.0000 0.0000
Mo2 Mo 0.3333 0.6667 0.3189
W1 W 0.3333 0.6667 0.6815
S1 S 0.0000 0.0000 0.2398
S2 S 0.0000 0.0000 0.3978
S3 S 0.0000 0.0000 0.6019
S4 S 0.0000 0.0000 0.7612
S5 S 0.3333 0.6667 0.0790
S6 S 0.3333 0.6667 0.9210
# - DFT total energy (eV per atom) = -8.01
# - SG = P3m1, No. 156
# - formation energy without anion corrections (eV/atom) = -0.94

***

Record 2
# Ca2Be, relaxed, DFT PBEsol
data_Ca2Be
_chemical_formula_sum 'Ca2 Be1'
_cell_length_a 6.9381
_cell_length_b 6.9381
_cell_length_c 6.9381
_cell_angle_alpha 150.37
_cell_angle_beta 150.37
_cell_angle_gamma 42.40
_symmetry_space_group_name_H-M 'P 1'
_symmetry_Int_Tables_number 1
loop_
_symmetry_equiv_pos_as_xyz
'x,y,z'
loop_
_atom_site_label
_atom_site_type_symbol
_atom_site_fract_x
_atom_site_fract_y
_atom_site_fract_z
Ca1 Ca 0.1309 0.1309 0.0000
Ca2 Ca 0.8691 0.8691 0.0000
Be1 Be 0.5000 0.5000 0.0000
# - DFT total energy (eV per atom) = -2.50
# - D(E_F) (states/eV/f.u.) = 2.42
# - energy of formation from the pure elements (eV per atom) = 0.26
# - SG = I4/mmm, No. 139
# - distance to the lowest polymorph of the same formula (meV per atom) = 0

***

Record 3
# CoOs2Se, relaxed, DFT PBEsol
data_CoOs2Se
_chemical_formula_sum 'Co1 Os2 Se1'
_cell_length_a 2.7491
_cell_length_b 4.4891
_cell_length_c 4.4952
_cell_angle_alpha 90.00
_cell_angle_beta 90.00
_cell_angle_gamma 90.00
_symmetry_space_group_name_H-M 'P 1'
_symmetry_Int_Tables_number 1
loop_
_symmetry_equiv_pos_as_xyz
'x,y,z'
loop_
_atom_site_label
_atom_site_type_symbol
_atom_site_fract_x
_atom_site_fract_y
_atom_site_fract_z
Co1 Co 0.0000 0.0000 0.0000
Os1 Os 0.0000 0.5000 0.5000
Os2 Os 0.5000 0.5000 0.0000
Se1 Se 0.5000 0.0000 0.5000
# - DFT total energy (eV per atom) = -8.28
# - D(E_F) (states/eV/f.u.) = 6.17
# - SG = Pmmm, No. 47
# - formation energy without anion corrections (eV/atom) = 0.73

***

Record 4
# Zr2ZnCd, relaxed, DFT PBEsol
data_Zr2ZnCd
_chemical_formula_sum 'Zr2 Zn1 Cd1'
_cell_length_a 4.7850
_cell_length_b 4.7850
_cell_length_c 4.7850
_cell_angle_alpha 60.00
_cell_angle_beta 60.00
_cell_angle_gamma 60.00
_symmetry_space_group_name_H-M 'P 1'
_symmetry_Int_Tables_number 1
loop_
_symmetry_equiv_pos_as_xyz
'x,y,z'
loop_
_atom_site_label
_atom_site_type_symbol
_atom_site_fract_x
_atom_site_fract_y
_atom_site_fract_z
Zr1 Zr 0.2500 0.2500 0.2500
Zr2 Zr 0.7500 0.7500 0.7500
Zn1 Zn 0.0000 0.0000 0.0000
Cd1 Cd 0.5000 0.5000 0.5000
# - DFT total energy (eV per atom) = -5.41
# - D(E_F) (states/eV/f.u.) = 0.90
# - energy of formation from the pure elements (eV per atom) = -0.17
# - SG = Fm-3m, No. 225
# - distance to the lowest polymorph of the same formula (meV per atom) = 28